Compound: Ca2PaPtN4
Source: Alexandria
Functional: GGA-PBE
Structure: optimized geometry

Calculated values
As for the formation energy without anion corrections: -0.835 eV/atom. Its crystal system is monoclinic. The total energy comes out at -59.52 eV per cell. The density of states at the Fermi level is 3.51 states/eV per cell.

abc: 3.438 5.766 6.160
angles: 112.73 90.00 90.00
Sites, in units of the cell vectors:
Ca (0.500, 0.000, 0.500)
Ca (0.000, 0.500, 0.500)
N (0.000, 0.710, 0.241)
N (0.500, 0.228, 0.206)
N (0.000, 0.290, 0.759)
N (0.500, 0.772, 0.794)
Pt (0.000, 0.000, 0.000)
Pa (0.500, 0.500, 0.000)